[1]
A relaxed structure of Sr3Sc, computed with PBE.

Cell: 4.172 4.172 10.122 Å, 90.00 90.00 90.00°
Atoms (fractional coordinates):
Sc  0.000  0.000  0.000
Sr  0.500  0.500  0.207
Sr  0.000  0.000  0.500
Sr  0.500  0.500  0.793

## Properties
Final energy in eV for the cell shown: -10.55
Crystal system: tetragonal
M_tot in μB/cell: 0.00
Offset from the most stable computed form in meV/atom: 0
Symmetry: No. 123



[2]
A relaxed structure of Sr5Sc3, computed with PBE.

Cell: 10.614 10.614 6.892 Å, 90.00 90.00 120.00°
Atoms (fractional coordinates):
Sc  0.579  0.000  0.250
Sc  0.421  0.000  0.750
Sc  0.000  0.579  0.250
Sc  0.421  0.421  0.250
Sc  0.579  0.579  0.750
Sc  0.000  0.421  0.750
Sr  0.333  0.667  0.000
Sr  0.667  0.333  0.500
Sr  0.667  0.333  0.000
Sr  0.333  0.667  0.500
Sr  0.244  0.000  0.250
Sr  0.756  0.000  0.750
Sr  0.000  0.244  0.250
Sr  0.756  0.756  0.250
Sr  0.244  0.244  0.750
Sr  0.000  0.756  0.750

## Properties
Final energy in eV for the cell shown: -48.51
Crystal system: hexagonal
M_tot in μB/cell: 6.13
Symmetry: No. 193



[3]
A relaxed structure of Sr3Sc, computed with PBE.

Cell: 7.318 7.318 7.318 Å, 117.02 117.02 117.02°
Atoms (fractional coordinates):
Sc  0.000  0.000  0.000
Sr  0.500  0.500  0.000
Sr  0.000  0.500  0.500
Sr  0.500  0.000  0.500

## Properties
Final energy in eV for the cell shown: -10.21
Crystal system: trigonal
M_tot in μB/cell: 0.34
Offset from the most stable computed form in meV/atom: 85
Symmetry: No. 166



[4]
A relaxed structure of Sr3Sc, computed with PBE.

Cell: 8.007 8.007 6.412 Å, 90.00 90.00 119.97°
Atoms (fractional coordinates):
Sr  0.173  0.827  0.750
Sr  0.827  0.173  0.250
Sr  0.655  0.827  0.750
Sr  0.345  0.173  0.250
Sr  0.827  0.655  0.250
Sr  0.173  0.345  0.750
Sc  0.667  0.333  0.750
Sc  0.333  0.667  0.250

## Properties
Final energy in eV for the cell shown: -20.59
Crystal system: hexagonal
M_tot in μB/cell: 2.95
Offset from the most stable computed form in meV/atom: 64
Symmetry: No. 194



[5]
A relaxed structure of Sr3Sc, computed with PBE.

Cell: 6.243 6.243 6.243 Å, 60.00 60.00 60.00°
Atoms (fractional coordinates):
Sc  0.000  0.000  0.000
Sr  0.250  0.250  0.250
Sr  0.500  0.500  0.500
Sr  0.750  0.750  0.750

## Properties
Final energy in eV for the cell shown: -10.28
Crystal system: cubic
M_tot in μB/cell: 0.00
Offset from the most stable computed form in meV/atom: 68
Symmetry: No. 225



[6]
A relaxed structure of SrSc2, computed with PBE.

Cell: 3.538 3.538 8.595 Å, 90.00 90.00 120.00°
Atoms (fractional coordinates):
Sc  0.333  0.667  0.639
Sc  0.667  0.333  0.361
Sr  0.000  0.000  0.000

## Properties
Final energy in eV for the cell shown: -13.46
Crystal system: trigonal
M_tot in μB/cell: 0.00
Offset from the most stable computed form in meV/atom: 82
Symmetry: No. 164



[7]
A relaxed structure of Sr3Sc, computed with PBE.

Cell: 6.819 6.819 4.024 Å, 90.00 90.00 108.05°
Atoms (fractional coordinates):
Sc  0.000  0.000  0.000
Sr  0.000  0.500  0.500
Sr  0.500  0.000  0.500
Sr  0.500  0.500  0.000

## Properties
Final energy in eV for the cell shown: -10.19
Crystal system: orthorhombic
M_tot in μB/cell: 1.29
Offset from the most stable computed form in meV/atom: 91
Symmetry: No. 65



[8]
A relaxed structure of Sr3Sc, computed with PBE.

Cell: 7.905 6.918 13.001 Å, 90.00 90.00 90.00°
Atoms (fractional coordinates):
Sc  0.646  0.931  0.750
Sc  0.146  0.569  0.250
Sc  0.854  0.431  0.750
Sc  0.354  0.069  0.250
Sr  0.120  0.957  0.750
Sr  0.620  0.543  0.250
Sr  0.380  0.457  0.750
Sr  0.880  0.043  0.250
Sr  0.626  0.235  0.984
Sr  0.126  0.265  0.016
Sr  0.874  0.735  0.516
Sr  0.374  0.765  0.484
Sr  0.374  0.765  0.016
Sr  0.874  0.735  0.984
Sr  0.126  0.265  0.484
Sr  0.626  0.235  0.516

## Properties
Final energy in eV for the cell shown: -41.33
Crystal system: orthorhombic
M_tot in μB/cell: 5.66
Offset from the most stable computed form in meV/atom: 55
Symmetry: No. 62



[9]
A relaxed structure of SrSc2, computed with PBE.

Cell: 7.230 7.230 7.230 Å, 90.00 90.00 90.00°
Atoms (fractional coordinates):
Sc  0.631  0.631  0.369
Sc  0.369  0.369  0.631
Sc  0.131  0.869  0.631
Sc  0.869  0.131  0.369
Sc  0.369  0.131  0.131
Sc  0.631  0.869  0.869
Sc  0.869  0.369  0.869
Sc  0.131  0.631  0.131
Sr  0.000  0.000  0.000
Sr  0.500  0.500  0.000
Sr  0.500  0.000  0.500
Sr  0.000  0.500  0.500

## Properties
Final energy in eV for the cell shown: -43.21
Crystal system: cubic
M_tot in μB/cell: 0.00
Offset from the most stable computed form in meV/atom: 967
Symmetry: No. 205



[10]
A relaxed structure of SrSc2, computed with PBE.

Cell: 6.827 6.827 8.289 Å, 75.54 75.54 30.16°
Atoms (fractional coordinates):
Sr  0.949  0.949  0.589
Sr  0.278  0.278  0.946
Sc  0.007  0.007  0.035
Sc  0.318  0.318  0.331
Sc  0.663  0.663  0.653
Sc  0.618  0.618  0.279

## Properties
Final energy in eV for the cell shown: -26.77
Crystal system: monoclinic
M_tot in μB/cell: 2.31
Offset from the most stable computed form in meV/atom: 107
Symmetry: No. 8



[11]
A relaxed structure of Sr3Sc, computed with PBE.

Cell: 6.209 6.209 4.479 Å, 90.00 90.00 90.00°
Atoms (fractional coordinates):
Sc  0.000  0.000  0.000
Sr  0.500  0.000  0.500
Sr  0.500  0.500  0.000
Sr  0.000  0.500  0.500

## Properties
Final energy in eV for the cell shown: -10.24
Crystal system: tetragonal
M_tot in μB/cell: 0.22
Offset from the most stable computed form in meV/atom: 78
Symmetry: No. 123



[12]
A relaxed structure of SrSc5, computed with PBE.

Cell: 6.281 6.281 6.281 Å, 60.00 60.00 60.00°
Atoms (fractional coordinates):
Sr  0.000  0.000  0.000
Sc  0.250  0.250  0.250
Sc  0.621  0.621  0.621
Sc  0.621  0.621  0.137
Sc  0.137  0.621  0.621
Sc  0.621  0.137  0.621

## Properties
Final energy in eV for the cell shown: -31.44
Crystal system: cubic
M_tot in μB/cell: 0.00
Offset from the most stable computed form in meV/atom: 149
Symmetry: No. 216



[13]
A relaxed structure of Sr4Sc, computed with PBE.

Cell: 6.943 6.943 6.943 Å, 100.06 100.06 130.59°
Atoms (fractional coordinates):
Sr  0.794  0.392  0.186
Sr  0.392  0.206  0.599
Sr  0.206  0.608  0.814
Sr  0.608  0.794  0.401
Sc  0.000  0.000  0.000

## Properties
Final energy in eV for the cell shown: -11.89
Crystal system: tetragonal
M_tot in μB/cell: 1.47
Offset from the most stable computed form in meV/atom: 0
Symmetry: No. 87